[1]
A relaxed structure of LaPmPt2. Source: Alexandria, functional PBE.

Cell: 3.934 4.580 5.825 Å, 90.00 109.76 90.00°
Element x y z (fractional)
La 0.446 0.500 0.431
Pm 0.718 0.000 0.976
Pt 0.173 0.500 0.886
Pt 0.994 0.000 0.526

Summary:
energy of formation from the pure elements: -1.189 eV per atom
space-group type: Amm2 (38)
calculated total energy: -6.629 eV per atom
total magnetization: 0.0 μB/cell

[2]
A relaxed structure of LaPm5Pt2. Source: Alexandria, functional PBE.

Cell: 4.724 8.295 8.295 Å, 55.56 73.46 73.46°
Element x y z (fractional)
La 0.000 0.000 0.000
Pm 0.000 0.500 0.500
Pm 0.650 0.582 0.119
Pm 0.350 0.418 0.881
Pm 0.350 0.881 0.418
Pm 0.650 0.119 0.582
Pt 0.794 0.706 0.706
Pt 0.206 0.294 0.294

Summary:
energy of formation from the pure elements: -0.518 eV per atom
space-group type: Immm (71)
calculated total energy: -5.614 eV per atom
total magnetization: 0.0 μB/cell

[3]
A relaxed structure of LaPm2Pt. Source: Alexandria, functional PBE.

Cell: 6.712 7.267 10.029 Å, 90.00 90.00 90.00°
Element x y z (fractional)
La 0.640 0.527 0.250
La 0.860 0.027 0.250
La 0.360 0.473 0.750
La 0.140 0.973 0.750
Pm 0.171 0.676 0.062
Pm 0.329 0.176 0.438
Pm 0.829 0.324 0.562
Pm 0.671 0.824 0.938
Pm 0.829 0.324 0.938
Pm 0.671 0.824 0.562
Pm 0.171 0.676 0.438
Pm 0.329 0.176 0.062
Pt 0.067 0.381 0.250
Pt 0.433 0.881 0.250
Pt 0.933 0.619 0.750
Pt 0.567 0.119 0.750

Summary:
energy of formation from the pure elements: -0.645 eV per atom
space-group type: Pnma (62)
calculated total energy: -5.763 eV per atom
total magnetization: 0.0 μB/cell

Question: What is the calculated total energy in the third record?
Answer: -5.763 eV per atom